--- one ---
Compound: CuMoPdPb
Source: OQMD
Functional: PBE-GGA
Structure: optimized geometry

Summary:
- Crystal system: cubic
- Spin magnetization: 1.8 μB per formula unit

```
CuMoPdPb
1.0
6.512 0.000 0.000
0.000 6.512 0.000
0.000 0.000 6.512
Cu Mo Pd Pb
4 4 4 4
Direct
0.000 0.000 0.000
0.000 0.500 0.500
0.500 0.000 0.500
0.500 0.500 0.000
0.000 0.000 0.500
0.000 0.500 0.000
0.500 0.000 0.000
0.500 0.500 0.500
0.250 0.250 0.250
0.250 0.750 0.750
0.750 0.250 0.750
0.750 0.750 0.250
0.250 0.250 0.750
0.250 0.750 0.250
0.750 0.250 0.250
0.750 0.750 0.750
```

---

--- two ---
Compound: CuMoPdPb
Source: OQMD
Functional: PBE-GGA
Structure: optimized geometry

Summary:
- Crystal system: cubic
- Spin magnetization: 2.3 μB per formula unit

```
CuMoPdPb
1.0
6.505 0.000 0.000
0.000 6.505 0.000
0.000 0.000 6.505
Cu Mo Pd Pb
4 4 4 4
Direct
0.000 0.000 0.000
0.000 0.500 0.500
0.500 0.000 0.500
0.500 0.500 0.000
0.250 0.250 0.250
0.250 0.750 0.750
0.750 0.250 0.750
0.750 0.750 0.250
0.000 0.000 0.500
0.000 0.500 0.000
0.500 0.000 0.000
0.500 0.500 0.500
0.250 0.250 0.750
0.250 0.750 0.250
0.750 0.250 0.250
0.750 0.750 0.750
```

---

Stability, highest: one

---

--- one ---
Compound: PrCuMo
Source: OQMD
Functional: PBE-GGA
Structure: optimized geometry

Summary:
- Crystal system: cubic
- Spin magnetization: 2.3 μB per formula unit

```
PrCuMo
1.0
6.488 0.000 0.000
0.000 6.488 0.000
0.000 0.000 6.488
Pr Cu Mo
4 4 4
Direct
0.000 0.000 0.000
0.000 0.500 0.500
0.500 0.000 0.500
0.500 0.500 0.000
0.250 0.250 0.750
0.250 0.750 0.250
0.750 0.250 0.250
0.750 0.750 0.750
0.000 0.000 0.500
0.000 0.500 0.000
0.500 0.000 0.000
0.500 0.500 0.500
```

---

--- two ---
Compound: PrCuMo
Source: OQMD
Functional: PBE-GGA
Structure: optimized geometry

Summary:
- Crystal system: cubic
- Spin magnetization: 2.6 μB per formula unit

```
PrCuMo
1.0
6.609 0.000 0.000
0.000 6.609 0.000
0.000 0.000 6.609
Pr Cu Mo
4 4 4
Direct
0.000 0.000 0.000
0.000 0.500 0.500
0.500 0.000 0.500
0.500 0.500 0.000
0.250 0.250 0.750
0.250 0.750 0.250
0.750 0.250 0.250
0.750 0.750 0.750
0.250 0.250 0.250
0.250 0.750 0.750
0.750 0.250 0.750
0.750 0.750 0.250
```

---

Stability, highest: one

---

--- one ---
Compound: CuSbMoPt
Source: OQMD
Functional: PBE-GGA
Structure: optimized geometry

Summary:
- Crystal system: cubic
- Spin magnetization: 2.5 μB per formula unit

```
CuSbMoPt
1.0
6.496 0.000 0.000
0.000 6.496 0.000
0.000 0.000 6.496
Cu Sb Mo Pt
4 4 4 4
Direct
0.000 0.000 0.000
0.000 0.500 0.500
0.500 0.000 0.500
0.500 0.500 0.000
0.250 0.250 0.750
0.250 0.750 0.250
0.750 0.250 0.250
0.750 0.750 0.750
0.250 0.250 0.250
0.250 0.750 0.750
0.750 0.250 0.750
0.750 0.750 0.250
0.000 0.000 0.500
0.000 0.500 0.000
0.500 0.000 0.000
0.500 0.500 0.500
```

---

--- two ---
Compound: CuSbMoPt
Source: OQMD
Functional: PBE-GGA
Structure: optimized geometry

Summary:
- Crystal system: cubic
- Spin magnetization: 0.4 μB per formula unit

```
CuSbMoPt
1.0
6.411 0.000 0.000
0.000 6.411 0.000
0.000 0.000 6.411
Cu Sb Mo Pt
4 4 4 4
Direct
0.000 0.000 0.000
0.000 0.500 0.500
0.500 0.000 0.500
0.500 0.500 0.000
0.250 0.250 0.750
0.250 0.750 0.250
0.750 0.250 0.250
0.750 0.750 0.750
0.000 0.000 0.500
0.000 0.500 0.000
0.500 0.000 0.000
0.500 0.500 0.500
0.250 0.250 0.250
0.250 0.750 0.750
0.750 0.250 0.750
0.750 0.750 0.250
```

---

Stability, highest: two

---

--- one ---
Compound: PuCuMo
Source: OQMD
Functional: PBE-GGA
Structure: optimized geometry

Summary:
- Crystal system: cubic
- Spin magnetization: 3.6 μB per formula unit

```
PuCuMo
1.0
6.208 0.000 0.000
0.000 6.208 0.000
0.000 0.000 6.208
Pu Cu Mo
4 4 4
Direct
0.000 0.000 0.000
0.000 0.500 0.500
0.500 0.000 0.500
0.500 0.500 0.000
0.250 0.250 0.750
0.250 0.750 0.250
0.750 0.250 0.250
0.750 0.750 0.750
0.000 0.000 0.500
0.000 0.500 0.000
0.500 0.000 0.000
0.500 0.500 0.500
```

---

--- two ---
Compound: PuCuMo
Source: OQMD
Functional: PBE-GGA
Structure: optimized geometry

Summary:
- Crystal system: cubic
- Spin magnetization: 0.0 μB per formula unit

```
PuCuMo
1.0
6.087 0.000 0.000
0.000 6.087 0.000
0.000 0.000 6.087
Pu Cu Mo
4 4 4
Direct
0.000 0.000 0.000
0.000 0.500 0.500
0.500 0.000 0.500
0.500 0.500 0.000
0.250 0.250 0.750
0.250 0.750 0.250
0.750 0.250 0.250
0.750 0.750 0.750
0.250 0.250 0.250
0.250 0.750 0.750
0.750 0.250 0.750
0.750 0.750 0.250
```

---

Stability, highest: one

---

--- one ---
Compound: CuReSiMo
Source: OQMD
Functional: PBE-GGA
Structure: optimized geometry

Summary:
- Crystal system: cubic
- Spin magnetization: 0.0 μB per formula unit

```
CuReSiMo
1.0
6.060 0.000 0.000
0.000 6.060 0.000
0.000 0.000 6.060
Cu Re Si Mo
4 4 4 4
Direct
0.000 0.000 0.000
0.000 0.500 0.500
0.500 0.000 0.500
0.500 0.500 0.000
0.000 0.000 0.500
0.000 0.500 0.000
0.500 0.000 0.000
0.500 0.500 0.500
0.250 0.250 0.750
0.250 0.750 0.250
0.750 0.250 0.250
0.750 0.750 0.750
0.250 0.250 0.250
0.250 0.750 0.750
0.750 0.250 0.750
0.750 0.750 0.250
```

---

--- two ---
Compound: CuReSiMo
Source: OQMD
Functional: PBE-GGA
Structure: optimized geometry

Summary:
- Crystal system: cubic
- Spin magnetization: 0.0 μB per formula unit

```
CuReSiMo
1.0
6.001 0.000 0.000
0.000 6.001 0.000
0.000 0.000 6.001
Cu Re Si Mo
4 4 4 4
Direct
0.000 0.000 0.000
0.000 0.500 0.500
0.500 0.000 0.500
0.500 0.500 0.000
0.250 0.250 0.250
0.250 0.750 0.750
0.750 0.250 0.750
0.750 0.750 0.250
0.000 0.000 0.500
0.000 0.500 0.000
0.500 0.000 0.000
0.500 0.500 0.500
0.250 0.250 0.750
0.250 0.750 0.250
0.750 0.250 0.250
0.750 0.750 0.750
```

---

Stability, highest: one

---

--- one ---
Compound: CuMoS2
Source: OQMD
Functional: PBE-GGA
Structure: optimized geometry

Summary:
- Crystal system: orthorhombic
- Spin magnetization: 0.0 μB per formula unit

```
CuMoS2
1.0
13.111 0.000 0.000
0.000 3.272 0.000
0.000 0.000 5.879
Cu Mo S
4 4 8
Direct
0.068 0.250 0.081
0.432 0.750 0.581
0.568 0.250 0.419
0.932 0.750 0.919
0.140 0.750 0.453
0.360 0.250 0.953
0.640 0.750 0.047
0.860 0.250 0.547
0.042 0.250 0.702
0.226 0.250 0.219
0.274 0.750 0.719
0.458 0.750 0.202
0.542 0.250 0.798
0.726 0.250 0.281
0.774 0.750 0.781
0.958 0.750 0.298
```

---

--- two ---
Compound: CuMoS2
Source: OQMD
Functional: PBE-GGA
Structure: optimized geometry

Summary:
- Crystal system: tetragonal
- Spin magnetization: 1.0 μB per formula unit

```
CuMoS2
1.0
5.353 0.000 0.000
0.000 5.353 0.000
0.000 0.000 10.456
Cu Mo S
4 4 8
Direct
0.000 0.000 0.000
0.000 0.500 0.250
0.500 0.000 0.750
0.500 0.500 0.500
0.000 0.000 0.500
0.000 0.500 0.750
0.500 0.000 0.250
0.500 0.500 0.000
0.248 0.750 0.125
0.250 0.248 0.875
0.250 0.252 0.375
0.252 0.750 0.625
0.748 0.250 0.625
0.750 0.748 0.375
0.750 0.752 0.875
0.752 0.250 0.125
```

---

Stability, highest: one